Crystalline Ce2Al2CrSi4 at its relaxed geometry, computed with PBE.

Summary:
For the formation energy without anion corrections, the calculation gives -4.2 eV per formula unit. Its space group is No. 139.

Cell: 6.0694 6.0694 6.0694 Å, 120.48 120.48 89.17°
Sites, in units of the cell vectors:
Ce (0.2500, 0.7500, 0.5000)
Ce (0.7500, 0.2500, 0.5000)
Al (0.2141, 0.2141, 0.0000)
Al (0.7859, 0.7859, 0.0000)
Cr (0.5000, 0.5000, 0.0000)
Si (0.2175, 0.2175, 0.4351)
Si (0.2175, 0.7825, 0.0000)
Si (0.7825, 0.2175, 0.0000)
Si (0.7825, 0.7825, 0.5649)